Compound: La2HgP
Source: Alexandria
Functional: PBE-GGA
Structure: optimized geometry

Unit cell a=8.3777 b=8.3777 c=8.3777 alpha=28.85 beta=28.85 gamma=28.85
Closest atoms and distances in Å follow each position.
Fractional coordinates of all 4 atoms:
La: 0.0000 0.0000 0.0000  3 P 2.93
La: 0.1946 0.1946 0.1946  3 P 2.94
Hg: 0.4303 0.4303 0.4303  6 La 3.35-3.37
P: 0.5976 0.5976 0.5976  6 La 2.93-2.94

## Properties
- Total magnetization: 0.0 Bohr magnetons per cell
- E_form: -979 meV/atom
- Energy above the lowest structure with this stoichiometry: 0.007 eV per atom